# 1
{
  "formula": "RuPt2Rh",
  "functional": "PBEsol",
  "state": "optimized geometry",
  "n_ef_per_ev_fu": 4.24,
  "delta_e_f_mev_per_atom": -9,
  "e_above_lowest_polymorph_mev_per_atom": 28,
  "final_energy_ev_per_atom": -8.069,
  "lattice": [[2.709, 0.000, 0.000], [-1.355, 2.346, 0.000], [0.000, 0.000, 26.772]],
  "species": ["Ru", "Ru", "Ru", "Pt", "Pt", "Pt", "Pt", "Pt", "Pt", "Rh", "Rh", "Rh"],
  "frac_coords": [[0.000, 0.000, 0.000], [0.333, 0.667, 0.667], [0.667, 0.333, 0.333], [0.000, 0.000, 0.504], [0.000, 0.000, 0.750], [0.333, 0.667, 0.171], [0.333, 0.667, 0.416], [0.667, 0.333, 0.083], [0.667, 0.333, 0.838], [0.000, 0.000, 0.256], [0.333, 0.667, 0.923], [0.667, 0.333, 0.589]]
}


# 2
{
  "formula": "ZnB2O",
  "functional": "PBEsol",
  "state": "optimized geometry",
  "n_ef_per_ev_fu": 1.76,
  "formation_energy_uncorrected_ev_per_fu": 6.59,
  "final_energy_ev_per_atom": -3.568,
  "lattice": [[5.372, 0.000, 0.000], [0.000, 5.372, 0.000], [0.000, 0.000, 5.372]],
  "species": ["Zn", "Zn", "Zn", "Zn", "B", "B", "B", "B", "B", "B", "B", "B", "O", "O", "O", "O"],
  "frac_coords": [[0.000, 0.000, 0.000], [0.000, 0.500, 0.500], [0.500, 0.000, 0.500], [0.500, 0.500, 0.000], [0.250, 0.250, 0.250], [0.250, 0.250, 0.750], [0.250, 0.750, 0.250], [0.250, 0.750, 0.750], [0.750, 0.250, 0.250], [0.750, 0.250, 0.750], [0.750, 0.750, 0.250], [0.750, 0.750, 0.750], [0.000, 0.000, 0.500], [0.000, 0.500, 0.000], [0.500, 0.000, 0.000], [0.500, 0.500, 0.500]]
}


# 3
{
  "formula": "LiY2Fe",
  "functional": "PBEsol",
  "state": "optimized geometry",
  "n_ef_per_ev_fu": 5.31,
  "delta_e_f_mev_per_atom": 359,
  "final_energy_ev_per_atom": -5.785,
  "lattice": [[4.140, 0.000, 0.000], [0.000, 4.140, 0.000], [0.000, 0.000, 9.768]],
  "species": ["Li", "Li", "Y", "Y", "Y", "Y", "Fe", "Fe"],
  "frac_coords": [[0.000, 0.000, 0.000], [0.500, 0.500, 0.500], [0.000, 0.000, 0.500], [0.000, 0.500, 0.250], [0.500, 0.000, 0.750], [0.500, 0.500, 0.000], [0.000, 0.500, 0.750], [0.500, 0.000, 0.250]]
}


# 4
{
  "formula": "CaGaAs2Se",
  "functional": "PBEsol",
  "state": "optimized geometry",
  "n_ef_per_ev_fu": 5.11,
  "formation_energy_uncorrected_ev_per_fu": -0.62,
  "e_above_lowest_polymorph_mev_per_atom": 0,
  "final_energy_ev_per_atom": -4.032,
  "lattice": [[4.846, 0.000, 0.000], [0.000, 4.846, 0.000], [0.000, 0.000, 5.116]],
  "species": ["Ca", "Ga", "As", "As", "Se"],
  "frac_coords": [[0.000, 0.000, 0.000], [0.500, 0.500, 0.500], [0.000, 0.500, 0.500], [0.500, 0.000, 0.500], [0.500, 0.500, 0.000]]
}